Entry 1:
Density functional theory data (PBE) for crystalline TcRuAu2 at its relaxed geometry. Values from VASP.

Computed properties:
Calculated density ... 14.978 g/cm³
D(E_F) ... 4.0 states/eV/f.u.
ΔE_f ... 581 meV per atom
E above lowest polymorph ... 44.3 kJ per mole of atoms

Quantum ESPRESSO input file:
```
&SYSTEM
  ibrav = 0, nat = 16, ntyp = 3
/
ATOMIC_SPECIES
Tc 98.00 Tc.upf
Ru 101.07 Ru.upf
Au 196.97 Au.upf
CELL_PARAMETERS angstrom
6.407 0.000 0.000
0.000 6.407 0.000
0.000 0.000 6.407
ATOMIC_POSITIONS crystal
Tc 0.000 0.000 0.000
Tc 0.000 0.500 0.500
Tc 0.500 0.000 0.500
Tc 0.500 0.500 0.000
Ru 0.250 0.250 0.250
Ru 0.250 0.750 0.750
Ru 0.750 0.250 0.750
Ru 0.750 0.750 0.250
Au 0.000 0.000 0.500
Au 0.000 0.500 0.000
Au 0.250 0.250 0.750
Au 0.250 0.750 0.250
Au 0.500 0.000 0.000
Au 0.500 0.500 0.500
Au 0.750 0.250 0.250
Au 0.750 0.750 0.750
```


Entry 2:
Density functional theory data (PBE) for crystalline TcRuAu at its relaxed geometry. Values from VASP.

Computed properties:
Calculated density ... 14.038 g/cm³
D(E_F) ... 2.7 states/eV/f.u.
ΔE_f ... 151 meV per atom
E above lowest polymorph ... 0.0 kJ per mole of atoms

Quantum ESPRESSO input file:
```
&SYSTEM
  ibrav = 0, nat = 3, ntyp = 3
/
ATOMIC_SPECIES
Tc 98.00 Tc.upf
Ru 101.07 Ru.upf
Au 196.97 Au.upf
CELL_PARAMETERS angstrom
2.784 0.000 0.000
-1.392 2.411 0.000
0.000 0.000 6.978
ATOMIC_POSITIONS crystal
Tc 0.000 0.000 0.000
Ru 0.333 0.667 0.714
Au 0.667 0.333 0.357
```